Y2BeSb after structural relaxation. Source: Alexandria via LeMat-Bulk, functional PBE-GGA.

POSCAR file:
```
Y2BeSb
1.0
6.1008 0.0018 0.0000
3.0918 5.2593 0.0000
-4.5963 -2.6305 3.0289
Y Sb Be
2 1 1
direct
0.0000 0.0000 0.0000
0.2500 0.7500 0.5000
0.7500 0.2500 0.5000
0.5000 0.5000 0.0000
```

## Properties
- Space group: No. 119
- Total DFT energy (no corrections): -5.47 eV per atom
- Energy above the lowest structure with this stoichiometry: 278.3 meV per atom
- Energy relative to the elements, uncorrected: -0.277 eV/atom

=====

YBeSb3 after structural relaxation. Source: Alexandria via LeMat-Bulk, functional PBE-GGA.

POSCAR file:
```
YBeSb3
1.0
5.0104 0.0000 0.0000
0.0000 5.0104 0.0000
0.0000 0.0000 5.0104
Y Sb Be
1 3 1
direct
0.5000 0.5000 0.5000
0.0000 0.5000 0.0000
0.0000 0.0000 0.5000
0.5000 0.0000 0.0000
0.0000 0.0000 0.0000
```

## Properties
- Space group: No. 221
- Total DFT energy (no corrections): -4.44 eV per atom
- Energy above the lowest structure with this stoichiometry: 0.0 meV per atom
- Energy relative to the elements, uncorrected: 0.075 eV/atom

=====

In order of appearance, magnetization = 0.00 0.00 μB/cell.